Record 1
Density functional theory data (GGA-PBE) for a geometry-optimized Pu2Tl3FeS6 structure.

The space group is C2/m, No. 12.

a = 6.778 Å, b = 6.778 Å, c = 7.817 Å
α = 98.43°, β = 98.43°, γ = 119.81°
Sites, in units of the cell vectors:
Pu 0.166 0.834 0.000
Pu 0.834 0.166 0.000
Tl 0.000 0.000 0.500
Tl 0.329 0.671 0.500
Tl 0.671 0.329 0.500
Fe 0.500 0.500 0.000
S 0.125 0.437 0.813
S 0.247 0.247 0.197
S 0.437 0.125 0.813
S 0.563 0.875 0.187
S 0.753 0.753 0.803
S 0.875 0.563 0.187

***

Record 2
Density functional theory data (GGA-PBE) for a geometry-optimized CuNi2S2 structure.

The space group is C2/m, No. 12.

a = 6.456 Å, b = 6.456 Å, c = 8.668 Å
α = 122.84°, β = 122.84°, γ = 32.61°
Sites, in units of the cell vectors:
Cu 0.116 0.116 0.127
Cu 0.884 0.884 0.873
Ni 0.150 0.150 0.442
Ni 0.472 0.472 0.332
Ni 0.528 0.528 0.668
Ni 0.850 0.850 0.558
S 0.055 0.055 0.830
S 0.318 0.318 0.389
S 0.682 0.682 0.611
S 0.945 0.945 0.170

***

Short version: formation energy (no corrections) = -0.853; -0.207 eV per atom, in the order given.
Short version: magnetic moment = 13.3; 0.0 μB per formula unit, in the order given.